No. 1
Computed, not measured: a geometry-optimized Pa2RhO8 structure at the GGA-PBE level of DFT.

a = 16.2276 Å, b = 3.4072 Å, c = 6.2473 Å
α = 90.00°, β = 99.22°, γ = 90.00°
Space group C2 (No. 5)
Inequivalent atoms, fractional coordinates:
Pa (0.1522, 0.0000, 0.3769) [4 per cell]
Rh (0.0000, 0.5808, 0.0000) [2 per cell]
O (0.0059, 0.0183, 0.1996) [4 per cell]
O (0.1060, 0.5018, 0.5140) [4 per cell]
O (0.1127, 0.4703, 0.0688) [4 per cell]
O (0.2427, 0.4994, 0.3370) [4 per cell]

## Properties
**Formation energy from raw total energies**: -2.20 eV/atom
**Volume**: 340.95 Å³/cell



No. 2
Computed, not measured: a geometry-optimized TiTl2CoPd structure at the GGA-PBE level of DFT.

a = 5.3888 Å, b = 5.3888 Å, c = 4.5890 Å
α = 90.00°, β = 90.00°, γ = 90.00°
Space group P4/mmm (No. 123)
Inequivalent atoms, fractional coordinates:
Ti (0.0000, 0.0000, 0.0000) [1 per cell]
Tl (0.0000, 0.5000, 0.0000) [2 per cell]
Co (0.5000, 0.5000, 0.5000) [1 per cell]
Pd (0.0000, 0.0000, 0.5000) [1 per cell]

## Properties
**Volume**: 133.26 Å³/cell
**DFT formation energy**: 5.43 eV per formula unit



No. 3
Computed, not measured: a geometry-optimized Hg3ClO structure at the GGA-PBE level of DFT.

a = 9.2454 Å, b = 7.2287 Å, c = 8.5591 Å
α = 90.00°, β = 109.88°, γ = 90.00°
Space group P2_1/c (No. 14)
Inequivalent atoms, fractional coordinates:
Hg (0.0126, 0.1665, 0.2398) [4 per cell]
Hg (0.2566, 0.6517, 0.0791) [4 per cell]
Hg (0.3553, 0.0556, 0.9506) [4 per cell]
Cl (0.3305, 0.1022, 0.2882) [4 per cell]
O (0.0950, 0.0824, 0.8615) [4 per cell]

## Properties
**Formation energy from raw total energies**: -0.28 eV/atom
**Volume**: 537.94 Å³/cell



No. 4
Computed, not measured: a geometry-optimized Tb6SmTe8 structure at the GGA-PBE level of DFT.

a = 12.3290 Å, b = 12.3290 Å, c = 12.3290 Å
α = 90.00°, β = 90.00°, γ = 90.00°
Space group Fm-3m (No. 225)
Inequivalent atoms, fractional coordinates:
Tb (0.0000, 0.2500, 0.2500) [24 per cell]
Sm (0.0000, 0.0000, 0.0000) [4 per cell]
Te (0.0000, 0.0000, 0.2586) [24 per cell]
Te (0.2500, 0.2500, 0.2500) [8 per cell]

## Properties
**Formation energy from raw total energies**: -1.39 eV/atom
**Volume**: 1874.06 Å³/cell



No. 5
Computed, not measured: a geometry-optimized Sr2PmYSe4 structure at the GGA-PBE level of DFT.

a = 7.3423 Å, b = 4.2411 Å, c = 7.5146 Å
α = 90.00°, β = 109.02°, γ = 90.00°
Space group P2/m (No. 10)
Inequivalent atoms, fractional coordinates:
Sr (0.0000, 0.0000, 0.0000) [1 per cell]
Sr (0.5000, 0.5000, 0.0000) [1 per cell]
Pm (0.0000, 0.5000, 0.5000) [1 per cell]
Y (0.5000, 0.0000, 0.5000) [1 per cell]
Se (0.2505, 0.0000, 0.7367) [2 per cell]
Se (0.2600, 0.5000, 0.2666) [2 per cell]

## Properties
**Formation energy from raw total energies**: -1.90 eV/atom
**Volume**: 221.23 Å³/cell



No. 6
Computed, not measured: a geometry-optimized Sr2AgSe structure at the GGA-PBE level of DFT.

a = 8.2281 Å, b = 8.2281 Å, c = 8.6518 Å
α = 90.00°, β = 90.00°, γ = 90.00°
Space group I-42d (No. 122)
Inequivalent atoms, fractional coordinates:
Sr (0.2293, 0.2500, 0.1250) [8 per cell]
Ag (0.0000, 0.0000, 0.5000) [4 per cell]
Se (0.0000, 0.0000, 0.0000) [4 per cell]

## Properties
**Formation energy from raw total energies**: -0.83 eV/atom
**Volume**: 585.74 Å³/cell